Below is a relaxed BaAgPb2 crystal, with properties calculated at the PBE level.

The structure in extended XYZ format:
```
4
Lattice="6.127 0.364 -0.634 -2.470 5.619 -0.634 0.328 0.536 3.492" Properties=species:S:1:pos:R:3 pbc="T T T"
Pb 0.000 0.000 0.000
Pb 1.829 2.991 -0.634
Ba -1.071 3.078 1.429
Ag 3.228 0.450 1.429
```

**Volume**: 31.8 Å³/atom
**DFT formation energy**: -21.9 kJ/mol of formula units
**SG**: No. 65
**Energy above the most stable polymorph in this dataset**: 0.2768 eV/atom
**Total moment**: 0.0 μB/f.u.
**DFT total energy**: -0.114 Ha/atom